Pu2GeRu3, relaxed, DFT GGA-PBE; V = 211.8 Å³/cell; calculated formation energy = -0.10 eV/atom; symmetry = C2/c, No. 15; total magnetization = 16.54 Bohr magnetons per cell
1.0
7.997 -2.654 0.000
7.997 2.654 0.000
-1.399 0.000 4.990
Pu Ge Ru
4 2 6
direct
0.047 0.296 0.203
0.296 0.047 0.703
0.704 0.953 0.297
0.953 0.704 0.797
0.182 0.818 0.250
0.818 0.182 0.750
0.258 0.460 0.312
0.308 0.692 0.750
0.460 0.258 0.812
0.540 0.742 0.188
0.692 0.308 0.250
0.742 0.540 0.688